Crystalline AcCeIrSe at its relaxed geometry. Source: the Alexandria database, functional PBE.

Output
total energy: -6.7873 eV per atom
raw formation energy: -1.190 eV per atom
total moment: 1.231 μB per cell
DOS(E_F): 5.5 states/eV/f.u.

a b c (Å): 4.1505 4.1505 22.9392
angles (deg): 90.00 90.00 120.00
Space group R3m (No. 160, hexagonal axes)
Asymmetric unit:
Ac1 0.0000 0.0000 0.0000 x3
Ce1 0.0000 0.0000 0.8128 x3
Ir1 0.0000 0.0000 0.4155 x3
Se1 0.0000 0.0000 0.2322 x3